14
Lattice="5.063 -3.538 0.000 5.063 3.538 0.000 -0.439 0.000 6.680" Properties=species:S:1:pos:R:3 comment="PaSbClO4 PBE optimized geometry" crystal_system=monoclinic spacegroup="C2/m, No. 12" e_form_raw_ev_per_atom=-2.201 pbc="T T T"
Pa 2.245 0.000 0.905
Pa 7.441 0.000 5.775
Sb 3.697 0.000 4.495
Sb 5.989 0.000 2.185
Cl -0.006 0.000 5.134
Cl 9.692 0.000 1.546
O 2.778 1.359 5.588
O 2.359 0.000 3.003
O 4.290 0.000 1.121
O 6.908 1.359 1.092
O 2.778 -1.359 5.588
O 5.396 0.000 5.559
O 7.327 0.000 3.677
O 6.908 -1.359 1.092



28
Lattice="8.379 0.000 0.000 -0.404 8.988 0.000 -3.426 -1.035 10.458" Properties=species:S:1:pos:R:3 comment="TiS5Cl2O6 PBE optimized geometry" crystal_system=triclinic spacegroup="P-1, No. 2" e_form_raw_ev_per_atom=-0.622 de_polymorph_ev_per_atom=0.324 pbc="T T T"
Ti 0.073 2.327 1.430
Ti 4.476 5.626 9.028
S -2.247 2.943 7.489
S -1.863 8.129 7.719
S 2.105 8.807 1.485
S 1.291 1.978 5.047
S 2.476 4.856 1.246
S 2.073 3.098 9.211
S 3.259 5.976 5.410
S 2.444 -0.854 8.973
S 6.413 -0.175 2.739
S 6.796 5.011 2.969
Cl -0.581 5.412 4.732
Cl 0.598 1.042 7.808
Cl 3.952 6.911 2.649
Cl 5.130 2.542 5.726
O 7.433 3.790 2.326
O -2.883 4.164 8.131
O -2.893 7.009 7.925
O -3.079 5.733 10.453
O 1.490 0.880 1.090
O 1.505 3.719 0.950
O 1.393 2.388 3.598
O 3.157 5.565 6.859
O 3.045 4.235 9.507
O 3.059 7.073 9.368
O 7.628 2.221 0.004
O 7.442 0.944 2.532



5
Lattice="5.628 0.000 0.000 0.000 5.628 0.000 0.000 0.000 4.560" Properties=species:S:1:pos:R:3 comment="Na2NbTlTc PBE optimized geometry" crystal_system=tetragonal spacegroup="P4/mmm, No. 123" e_form_ev_per_atom=1.0204 pbc="T T T"
Na 0.000 2.814 0.000
Na 2.814 0.000 0.000
Nb 0.000 0.000 2.280
Tl 2.814 2.814 2.280
Tc 0.000 0.000 0.000



Across the entries above, total magnetization takes the values 0.00 16.07 0.00 μB per cell, respectively.
Across the entries above, ρ takes the values 6.3 1.6 5.1 g cm⁻³, respectively.